SrAcPd | Alexandria via LeMat-Bulk | PBE | relaxed; ΔE to the lowest computed polymorph = 72 meV per atom; V = 40.1 Å³/atom; ΔE_f = -135 kJ/mol of formula units
1.0
-2.583 2.359 -6.270
-2.622 -3.525 -0.246
-1.425 3.668 1.967
Sr Ac Pd
1 1 1
Direct
0.758 0.667 0.333 Sr
0.231 0.333 0.667 Ac
0.011 0.000 0.000 Pd